[1]
Computed, not measured: a relaxed structure of Er3ScS6 at the PBE-GGA level of DFT. Values from VASP.

VASP energy = -6.50 eV per atom
E_form (uncorrected) = -1955 kJ/mol of formula units

Cell and atoms, written as Quantum ESPRESSO input:
```
&SYSTEM
  ibrav = 0, nat = 20, ntyp = 3
/
ATOMIC_SPECIES
Er 167.26 Er.upf
Sc 44.96 Sc.upf
S 32.06 S.upf
CELL_PARAMETERS angstrom
10.7589 0.0000 0.0000
0.0000 3.8480 0.0000
-3.5080 0.0000 10.5334
ATOMIC_POSITIONS angstrom
Er -0.1913 0.9620 2.0664
Er -0.0815 2.8860 10.4512
Er 3.5292 0.9620 3.5196
Er 3.7217 2.8860 7.0137
Er 7.3324 0.9620 0.0822
Er 7.4422 2.8860 8.4670
Sc -0.3840 0.9620 6.1340
Sc 7.6349 2.8860 4.3994
S -0.5615 2.8860 4.2913
S -2.1773 0.9620 10.1118
S -0.5469 2.8860 7.7842
S 1.9486 2.8860 2.3614
S 2.2050 0.9620 5.9110
S 4.7545 0.9620 1.1953
S 2.4964 2.8860 9.3380
S 5.0459 2.8860 4.6224
S 5.3023 0.9620 8.1719
S 7.7978 0.9620 2.7492
S 9.4282 2.8860 0.4216
S 7.8124 0.9620 6.2421
```


[2]
Computed, not measured: a relaxed structure of ErSc2S at the PBE-GGA level of DFT. Values from VASP.

VASP energy = -6.20 eV per atom
DOS(E_F) = 1.205 states/eV/atom
E_form (uncorrected) = -332 kJ/mol of formula units

Cell and atoms, written as Quantum ESPRESSO input:
```
&SYSTEM
  ibrav = 0, nat = 16, ntyp = 3
/
ATOMIC_SPECIES
Er 167.26 Er.upf
Sc 44.96 Sc.upf
S 32.06 S.upf
CELL_PARAMETERS angstrom
3.6352 0.0000 0.0000
0.0000 11.0321 0.0000
0.0000 0.0000 8.5545
ATOMIC_POSITIONS angstrom
Er 0.0000 0.7060 2.1386
Er 0.0000 10.3261 6.4159
Er 1.8176 4.8100 6.4159
Er 1.8176 6.2220 2.1386
Sc 0.0000 3.9380 0.4256
Sc 0.0000 3.9380 3.8517
Sc 0.0000 7.0941 4.7028
Sc 0.0000 7.0941 8.1290
Sc 1.8176 1.5780 4.7028
Sc 1.8176 1.5780 8.1290
Sc 1.8176 9.4540 0.4256
Sc 1.8176 9.4540 3.8517
S 0.0000 2.6260 6.4159
S 0.0000 8.4061 2.1386
S 1.8176 2.8901 2.1386
S 1.8176 8.1420 6.4159
```


[3]
Computed, not measured: a relaxed structure of ErSc3S4 at the PBE-GGA level of DFT. Values from VASP.

VASP energy = -6.89 eV per atom
DOS(E_F) = 0.639 states/eV/atom
E_form (uncorrected) = -1453 kJ/mol of formula units

Cell and atoms, written as Quantum ESPRESSO input:
```
&SYSTEM
  ibrav = 0, nat = 16, ntyp = 3
/
ATOMIC_SPECIES
Er 167.26 Er.upf
Sc 44.96 Sc.upf
S 32.06 S.upf
CELL_PARAMETERS angstrom
7.5057 0.0000 0.0000
0.0000 10.5768 0.0000
0.0000 0.0000 3.7233
ATOMIC_POSITIONS angstrom
Er 0.0000 0.0000 0.0000
Er 3.7528 5.2884 0.0000
Sc 0.0000 5.2884 0.0000
Sc 1.8764 2.6442 1.8616
Sc 1.8764 7.9326 1.8616
Sc 3.7528 0.0000 0.0000
Sc 5.6292 2.6442 1.8616
Sc 5.6292 7.9326 1.8616
S 0.0000 2.6889 0.0000
S 0.0000 7.8879 0.0000
S 1.8122 5.2884 1.8616
S 1.9406 0.0000 1.8616
S 3.7528 2.5995 0.0000
S 3.7528 7.9773 0.0000
S 5.5650 0.0000 1.8616
S 5.6935 5.2884 1.8616
```


[4]
Computed, not measured: a relaxed structure of ErSc2S at the PBE-GGA level of DFT. Values from VASP.

VASP energy = -6.23 eV per atom
DOS(E_F) = 1.410 states/eV/atom
E_form (uncorrected) = -345 kJ/mol of formula units

Cell and atoms, written as Quantum ESPRESSO input:
```
&SYSTEM
  ibrav = 0, nat = 12, ntyp = 3
/
ATOMIC_SPECIES
Er 167.26 Er.upf
Sc 44.96 Sc.upf
S 32.06 S.upf
CELL_PARAMETERS angstrom
3.5222 0.0000 0.0000
-1.7611 3.0503 0.0000
0.0000 0.0000 26.1613
ATOMIC_POSITIONS angstrom
Er 0.0000 0.0000 0.0000
Er 0.0000 2.0335 17.4409
Er 1.7611 1.0168 8.7204
Sc 0.0000 0.0000 5.9169
Sc 0.0000 0.0000 20.2445
Sc 0.0000 2.0335 11.5240
Sc 0.0000 2.0335 23.3577
Sc 1.7611 1.0168 2.8036
Sc 1.7611 1.0168 14.6373
S 0.0000 0.0000 13.0807
S 0.0000 2.0335 4.3602
S 1.7611 1.0168 21.8011
```


- Which of these has the highest E_form (uncorrected)?
  number 2